Record 1
DFT (PBE) results for crystalline Ce4ZnIn at its relaxed geometry.

Calculated values
- Calculated formation energy: -158 meV/atom
- D(E_F): 14.85 states/eV/f.u.
- E above lowest polymorph: 0 meV per atom
- SG: C2/m (12)

Unit cell a=5.1648 b=6.0631 c=6.0631 alpha=99.14 beta=64.85 gamma=64.85
Closest atoms and distances in Å follow each position.
Fractional coordinates of all 6 atoms:
Ce (0.7397, 0.5693, 0.9170)  4 Ce 2.79-3.10
Ce (0.2602, 0.0830, 0.4307)  4 Ce 2.79-3.10
Zn (0.5000, 0.5000, 0.5000)  2 In 2.97, 4 Ce 3.30
In (0.0000, 0.0000, 0.0000)  2 Zn 2.97
Ce (0.7397, 0.9170, 0.5693)  4 Ce 2.79-3.10
Ce (0.2602, 0.4307, 0.0830)  4 Ce 2.79-3.10

Record 2
DFT (PBE) results for crystalline Y4Er2Te9 at its relaxed geometry.

Calculated values
- ΔE_f (raw): -1.37 eV per atom
- SG: P-3c1 (165)

Unit cell a=7.6763 b=7.6763 c=21.0330 alpha=90.00 beta=90.00 gamma=60.00
Closest atoms and distances in Å follow each position.
Fractional coordinates of all 30 atoms:
Er (0.0002, 0.0000, 0.6577)  6 Te 3.05-3.08
Er (0.0002, 0.0000, 0.8424)  6 Te 3.05-3.08
Te (0.3311, 0.0192, 0.5836)  1 Er 3.05, 3 Y 3.07-3.11
Te (0.0192, 0.3307, 0.0835)  1 Er 3.05, 3 Y 3.07-3.11
Te (0.3121, 0.6881, 0.7500)  2 Y 3.07, 2 Er 3.08
Te (0.6496, 0.0192, 0.0836)  1 Er 3.05, 3 Y 3.07-3.11
Y (0.3336, 0.3334, 0.6763)  6 Te 3.07-3.11
Y (0.3330, 0.3334, 0.1763)  6 Te 3.07-3.11
Te (0.0193, 0.6499, 0.5836)  1 Er 3.05, 3 Y 3.07-3.11
Te (0.6879, 0.3119, 0.2500)  2 Y 3.07, 2 Er 3.08
Te (0.0003, 0.3119, 0.7500)  2 Y 3.07, 2 Er 3.08
Er (0.9998, 0.0000, 0.1576)  6 Te 3.05-3.08
Y (0.6664, 0.6666, 0.3237)  6 Te 3.07-3.11
Te (0.3309, 0.6498, 0.0836)  1 Er 3.05, 3 Y 3.07-3.11
Y (0.6667, 0.6667, 0.5095)  6 Te 3.07-3.11
Te (0.6689, 0.9808, 0.4164)  1 Er 3.05, 3 Y 3.07-3.11
Te (0.9807, 0.3501, 0.4164)  1 Er 3.05, 3 Y 3.07-3.11
Y (0.6666, 0.6667, 0.0095)  6 Te 3.07-3.11
Y (0.3334, 0.3333, 0.9905)  6 Te 3.07-3.11
Te (0.3500, 0.6692, 0.4165)  1 Er 3.05, 3 Y 3.07-3.11
Te (0.3116, 0.0000, 0.2500)  2 Y 3.07, 2 Er 3.08
Te (0.3504, 0.9808, 0.9164)  1 Er 3.05, 3 Y 3.07-3.11
Te (0.6884, 0.0000, 0.7500)  2 Y 3.07, 2 Er 3.08
Te (0.6691, 0.3502, 0.9164)  1 Er 3.05, 3 Y 3.07-3.11
Te (0.6500, 0.3308, 0.5835)  1 Er 3.05, 3 Y 3.07-3.11
Y (0.6670, 0.6666, 0.8237)  6 Te 3.07-3.11
Er (0.9998, 0.0000, 0.3423)  6 Te 3.05-3.08
Te (0.9997, 0.6881, 0.2500)  2 Y 3.07, 2 Er 3.08
Y (0.3333, 0.3333, 0.4905)  6 Te 3.07-3.11
Te (0.9808, 0.6693, 0.9165)  1 Er 3.05, 3 Y 3.07-3.11